CaNd2GeN4 after structural relaxation. Source: the Alexandria database, functional PBE.

Geometry as extended XYZ:
```
16
Lattice="-1.055 -1.755 2.829 6.322 -0.016 0.192 -0.168 10.393 6.385" Properties=species:S:1:pos:R:3 pbc="T T T"
Ca 1.059 7.612 5.117
Ca 4.040 1.010 4.289
Nd 4.193 4.946 4.632
Nd 0.977 -0.701 2.085
Nd 0.906 3.676 4.774
Nd 4.122 9.323 7.321
Ge 3.100 6.339 7.244
Ge 1.999 2.284 2.162
N 3.064 0.858 1.675
N 2.076 5.235 6.177
N 2.035 7.765 7.731
N 3.023 3.387 3.229
N -0.084 5.197 3.192
N 0.000 0.000 0.000
N 4.715 7.048 6.131
N 0.383 1.574 3.275
```

Computed properties:
**VASP energy**: -112.366 eV/cell



CaNiGeN after structural relaxation. Source: the Alexandria database, functional PBE.

Geometry as extended XYZ:
```
8
Lattice="-3.629 -0.123 0.169 -0.161 -0.232 -3.624 0.333 -9.079 0.567" Properties=species:S:1:pos:R:3 pbc="T T T"
Ca 0.210 -8.030 -1.317
Ca -1.772 -1.226 0.158
Ni 0.167 -4.539 0.284
Ni -1.729 -4.717 -1.444
Ge 0.030 -3.139 -1.623
Ge -1.592 -6.118 0.463
N -1.526 -7.936 0.577
N -0.036 -1.320 -1.737
```

Computed properties:
**VASP energy**: -46.633 eV/cell



CaNi2GeN after structural relaxation. Source: the Alexandria database, functional PBE.

Geometry as extended XYZ:
```
10
Lattice="3.625 0.000 0.000 -1.812 5.624 0.000 0.000 0.000 6.822" Properties=species:S:1:pos:R:3 pbc="T T T"
Ca 0.000 5.218 5.116
Ca 1.812 0.406 1.705
Ni 0.000 1.780 6.459
Ni 1.812 3.844 0.363
Ni 0.000 1.780 3.774
Ni 1.812 3.844 3.048
Ge 1.812 2.641 5.116
Ge 0.000 2.983 1.705
N 0.000 0.000 0.000
N 0.000 0.000 3.411
```

Computed properties:
**VASP energy**: -57.926 eV/cell



CaGeP2N6 after structural relaxation. Source: the Alexandria database, functional PBE.

Geometry as extended XYZ:
```
20
Lattice="-3.376 -0.826 4.421 -3.220 -6.139 -0.984 4.061 -1.959 5.357" Properties=species:S:1:pos:R:3 pbc="T T T"
Ca -3.236 -5.870 0.842
Ca 0.701 -3.054 7.951
Ge 1.795 -2.982 5.224
Ge -4.330 -5.942 3.570
P -1.338 -6.050 4.057
P -0.733 -3.164 1.460
P -1.197 -2.874 4.736
P -1.802 -5.760 7.334
N -0.584 -7.428 4.274
N -1.341 -1.702 1.370
N -1.951 -1.496 4.519
N -1.194 -7.222 7.424
N -2.594 -5.999 3.098
N -1.452 -4.349 0.699
N 0.059 -2.925 5.696
N -1.083 -4.575 8.095
N -0.149 -4.928 3.381
N -0.731 -3.601 3.174
N -2.386 -3.996 5.413
N -1.804 -5.322 5.620
```

Computed properties:
**VASP energy**: -141.900 eV/cell



CaPaGeN4 after structural relaxation. Source: the Alexandria database, functional PBE.

Geometry as extended XYZ:
```
14
Lattice="-4.556 1.424 -3.326 1.159 -3.721 -3.180 -2.222 -4.751 4.749" Properties=species:S:1:pos:R:3 pbc="T T T"
Ca -4.298 -6.240 -0.234
Ca -1.320 -0.808 -1.525
Pa -3.504 -3.798 -2.800
Pa -2.115 -3.249 1.042
Ge -0.825 -3.875 -1.734
Ge -4.794 -3.173 -0.025
N -1.012 -5.334 1.783
N -5.154 0.043 -2.039
N -4.607 -1.714 -3.542
N -0.464 -7.091 0.281
N -1.492 -2.884 -3.137
N -4.127 -4.164 1.379
N -2.352 -4.869 -1.128
N -3.266 -2.179 -0.630
```

Computed properties:
**VASP energy**: -107.561 eV/cell



Ca4Pa3GeN8 after structural relaxation. Source: the Alexandria database, functional PBE.

Geometry as extended XYZ:
```
16
Lattice="7.110 0.000 0.000 0.000 6.979 -0.095 -3.555 -3.554 5.029" Properties=species:S:1:pos:R:3 pbc="T T T"
Ca 3.555 0.000 0.000
Ca 1.778 -1.777 2.515
Ca 0.000 0.000 0.000
Ca -1.778 -1.777 2.515
Pa 3.555 3.489 -0.047
Pa 1.778 1.713 2.467
Pa -1.778 1.713 2.467
Ge 0.000 3.489 -0.047
N -1.631 1.568 4.775
N 0.000 3.199 2.468
N 0.000 0.103 2.587
N 1.631 1.568 4.775
N 1.924 1.857 0.160
N 3.555 3.322 2.347
N 3.555 0.227 2.466
N 5.186 1.857 0.160
```

Computed properties:
**VASP energy**: -127.058 eV/cell



Ca2PaGeN4 after structural relaxation. Source: the Alexandria database, functional PBE.

Geometry as extended XYZ:
```
16
Lattice="3.474 0.000 0.000 -1.737 5.526 0.000 0.000 0.000 11.858" Properties=species:S:1:pos:R:3 pbc="T T T"
Ca 0.000 4.080 6.431
Ca 1.737 1.447 0.501
Ca 1.737 1.447 5.428
Ca 0.000 4.080 11.357
Pa 0.000 1.124 8.894
Pa 1.737 4.402 2.965
Ge 1.737 3.740 8.894
Ge 0.000 1.786 2.965
N 0.000 3.143 1.669
N 1.737 2.383 7.598
N 1.737 2.383 10.189
N 0.000 3.143 4.260
N 0.000 0.000 5.929
N 0.000 0.000 0.000
N 0.000 4.789 8.894
N 1.737 0.738 2.965
```

Computed properties:
**VASP energy**: -113.940 eV/cell



Ca2PmGeN after structural relaxation. Source: the Alexandria database, functional PBE.

Geometry as extended XYZ:
```
5
Lattice="-3.025 3.892 0.471 -3.254 -2.782 2.096 1.912 0.971 4.257" Properties=species:S:1:pos:R:3 pbc="T T T"
Ca 0.956 0.485 2.128
Ca -1.627 -1.391 1.048
Pm -1.512 1.946 0.235
Ge -2.183 1.041 3.412
N 0.000 0.000 0.000
```

Computed properties:
**VASP energy**: -26.235 eV/cell



CaPm2GeN after structural relaxation. Source: the Alexandria database, functional PBE.

Geometry as extended XYZ:
```
5
Lattice="4.756 0.000 0.000 0.000 4.910 0.000 0.000 0.000 4.910" Properties=species:S:1:pos:R:3 pbc="T T T"
Ca 2.378 0.000 0.000
Pm 0.000 0.000 2.455
Pm 0.000 2.455 0.000
Ge 2.378 2.455 2.455
N 0.000 0.000 0.000
```

Computed properties:
**VASP energy**: -28.933 eV/cell